No. 1
The following is a DFT calculation (PBE-GGA) of a geometry-optimized SiRhAuS structure.

Unit cell a=3.143 b=4.602 c=8.978 alpha=90.00 beta=93.22 gamma=90.00
Positions (direct):
Rh 0.305 0.000 0.901
Rh 0.305 0.500 0.401
S 0.253 0.000 0.505
S 0.253 0.500 0.005
Au 0.494 0.000 0.223
Au 0.494 0.500 0.723
Si 0.775 0.000 0.694
Si 0.775 0.500 0.194

* N(E_F): 2.3 states/eV/cell
* calculated total energy: -5.167 eV/atom
* raw formation energy: -122 meV per atom
* energy relative to the lowest polymorph listed for this composition: 0.076 eV per atom
* space-group type: Cm



No. 2
The following is a DFT calculation (PBE-GGA) of a geometry-optimized GdTh2Ga structure.

Unit cell a=4.855 b=4.788 c=4.788 alpha=90.00 beta=90.00 gamma=90.00
Positions (direct):
Gd 0.500 0.500 0.500
Ga 0.500 0.000 0.000
Th 0.000 0.000 0.500
Th 0.000 0.500 0.000

* N(E_F): 4.5 states/eV/cell
* calculated total energy: -8.163 eV/atom
* formation energy from the elements: -0.176 eV per atom
* energy relative to the lowest polymorph listed for this composition: 0.000 eV per atom
* space-group type: P4/mmm



No. 3
The following is a DFT calculation (PBE-GGA) of a geometry-optimized Ta2Be2Re structure.

Unit cell a=6.335 b=6.335 c=3.292 alpha=90.00 beta=90.00 gamma=90.00
Positions (direct):
Re 0.000 0.000 0.000
Re 0.500 0.500 0.000
Be 0.382 0.882 0.000
Be 0.882 0.618 0.000
Be 0.618 0.118 0.000
Be 0.118 0.382 0.000
Ta 0.178 0.678 0.500
Ta 0.678 0.822 0.500
Ta 0.822 0.322 0.500
Ta 0.322 0.178 0.500

* N(E_F): 3.3 states/eV/cell
* calculated total energy: -9.132 eV/atom
* formation energy from the elements: -0.411 eV per atom
* space-group type: P4/mbm



No. 4
The following is a DFT calculation (PBE-GGA) of a geometry-optimized TbThPd2 structure.

Unit cell a=5.071 b=5.071 c=5.071 alpha=60.00 beta=60.00 gamma=60.00
Positions (direct):
Tb 0.000 0.000 0.000
Pd 0.250 0.250 0.250
Pd 0.750 0.750 0.750
Th 0.500 0.500 0.500

* N(E_F): 3.3 states/eV/cell
* calculated total energy: -6.355 eV/atom
* formation energy from the elements: -0.746 eV per atom
* energy relative to the lowest polymorph listed for this composition: 0.093 eV per atom
* space-group type: Fm-3m



No. 5
The following is a DFT calculation (PBE-GGA) of a geometry-optimized Te2IrIBr structure.

Unit cell a=5.585 b=5.585 c=5.621 alpha=90.00 beta=90.00 gamma=90.00
Positions (direct):
I 0.000 0.000 0.500
Ir 0.500 0.500 0.500
Te 0.000 0.500 0.000
Te 0.500 0.000 0.000
Br 0.000 0.000 0.000

* N(E_F): 8.6 states/eV/cell
* calculated total energy: -1.935 eV/atom
* raw formation energy: 1739 meV per atom
* energy relative to the lowest polymorph listed for this composition: 1.330 eV per atom
* space-group type: P4/mmm



No. 6
The following is a DFT calculation (PBE-GGA) of a geometry-optimized AgPAuS2 structure.

Unit cell a=4.840 b=4.840 c=4.770 alpha=90.00 beta=90.00 gamma=90.00
Positions (direct):
P 0.000 0.000 0.500
S 0.000 0.500 0.000
S 0.500 0.000 0.000
Au 0.500 0.500 0.500
Ag 0.000 0.000 0.000

* N(E_F): 6.1 states/eV/cell
* calculated total energy: -2.791 eV/atom
* raw formation energy: 1167 meV per atom
* energy relative to the lowest polymorph listed for this composition: 0.669 eV per atom
* space-group type: P4/mmm



No. 7
The following is a DFT calculation (PBE-GGA) of a geometry-optimized Tb2BiTeO8 structure.

Unit cell a=5.051 b=5.050 c=6.918 alpha=90.00 beta=90.00 gamma=92.06
Positions (direct):
Tb 0.500 0.500 0.758
Tb 0.500 0.500 0.242
Bi 0.000 0.000 0.500
Te 0.000 0.000 0.000
O 0.182 0.818 0.214
O 0.723 0.723 0.000
O 0.818 0.182 0.214
O 0.818 0.182 0.786
O 0.277 0.277 0.000
O 0.182 0.818 0.786
O 0.691 0.691 0.500
O 0.309 0.309 0.500

* N(E_F): 1.4 states/eV/cell
* calculated total energy: -6.735 eV/atom
* raw formation energy: -2073 meV per atom
* space-group type: Cmmm



No. 8
The following is a DFT calculation (PBE-GGA) of a geometry-optimized Na4B7C structure.

Unit cell a=17.528 b=17.523 c=17.523 alpha=170.49 beta=162.67 gamma=19.80
Positions (direct):
Na 0.000 0.000 0.000
Na 0.124 0.125 0.999
Na 0.250 0.250 0.000
Na 0.374 0.375 0.999
Na 0.500 0.500 0.000
Na 0.626 0.625 0.001
Na 0.750 0.750 0.000
Na 0.876 0.875 0.001
C 0.725 0.062 0.662
C 0.275 0.938 0.338
B 0.216 0.562 0.654
B 0.526 0.187 0.339
B 0.349 0.687 0.662
B 0.426 0.062 0.364
B 0.474 0.813 0.661
B 0.784 0.438 0.346
B 0.574 0.938 0.636
B 0.651 0.313 0.338
B 0.025 0.687 0.338
B 0.848 0.187 0.661
B 0.882 0.562 0.320
B 0.975 0.313 0.662
B 0.118 0.438 0.680
B 0.152 0.813 0.339

* N(E_F): 8.1 states/eV/cell
* calculated total energy: -4.864 eV/atom
* formation energy from the elements: 0.239 eV per atom
* energy relative to the lowest polymorph listed for this composition: 0.017 eV per atom
* space-group type: C2/m



No. 9
The following is a DFT calculation (PBE-GGA) of a geometry-optimized Ca6TlAg structure.

Unit cell a=5.433 b=5.433 c=10.162 alpha=74.49 beta=74.49 gamma=90.00
Positions (direct):
Ca 0.749 0.749 0.502
Ca 0.597 0.097 0.805
Ca 0.098 0.597 0.805
Ca 0.403 0.903 0.195
Ca 0.251 0.251 0.498
Ca 0.902 0.403 0.195
Tl 0.500 0.500 0.000
Ag 0.000 0.000 0.000

* N(E_F): 7.3 states/eV/cell
* calculated total energy: -2.340 eV/atom
* formation energy from the elements: -0.187 eV per atom
* energy relative to the lowest polymorph listed for this composition: 0.000 eV per atom
* space-group type: I4/mmm



No. 10
The following is a DFT calculation (PBE-GGA) of a geometry-optimized Li2Zn2AgAu2 structure.

Unit cell a=4.522 b=4.501 c=7.220 alpha=108.29 beta=90.00 gamma=120.16
Positions (direct):
Li 0.133 0.266 0.400
Li 0.867 0.734 0.600
Zn 0.595 0.190 0.776
Zn 0.405 0.810 0.224
Ag 0.000 0.000 0.000
Au 0.735 0.470 0.210
Au 0.265 0.530 0.790

* N(E_F): 1.9 states/eV/cell
* calculated total energy: -2.566 eV/atom
* formation energy from the elements: -0.312 eV per atom
* space-group type: C2/m



No. 11
The following is a DFT calculation (PBE-GGA) of a geometry-optimized ScCuSb2 structure.

Unit cell a=4.984 b=4.984 c=4.984 alpha=60.00 beta=60.00 gamma=60.00
Positions (direct):
Sc 0.000 0.000 0.000
Sb 0.250 0.250 0.250
Sb 0.750 0.750 0.750
Cu 0.500 0.500 0.500

* N(E_F): 3.7 states/eV/cell
* calculated total energy: -4.751 eV/atom
* raw formation energy: -83 meV per atom
* space-group type: Fm-3m



No. 12
The following is a DFT calculation (PBE-GGA) of a geometry-optimized Ho2AsPd8 structure.

Unit cell a=4.689 b=5.860 c=7.975 alpha=111.56 beta=107.10 gamma=90.00
Positions (direct):
Ho 0.812 0.312 0.625
Ho 0.188 0.688 0.375
As 0.500 0.000 0.000
Pd 0.367 0.610 0.735
Pd 0.633 0.876 0.266
Pd 0.813 0.813 0.627
Pd 0.000 0.243 0.000
Pd 0.187 0.187 0.373
Pd 0.367 0.124 0.734
Pd 0.633 0.390 0.265
Pd 0.000 0.757 0.000

* N(E_F): 3.8 states/eV/cell
* calculated total energy: -5.715 eV/atom
* formation energy from the elements: -0.684 eV per atom
* space-group type: Immm



No. 13
The following is a DFT calculation (PBE-GGA) of a geometry-optimized NdHoGa structure.

Unit cell a=4.907 b=4.909 c=8.739 alpha=90.00 beta=90.00 gamma=60.00
Positions (direct):
Nd 0.155 0.561 0.012
Nd 0.155 0.561 0.566
Ho 0.822 0.227 0.789
Ho 0.488 0.894 0.289
Ga 0.822 0.227 0.140
Ga 0.822 0.227 0.437

* N(E_F): 9.4 states/eV/cell
* calculated total energy: -4.245 eV/atom
* formation energy from the elements: -0.120 eV per atom
* energy relative to the lowest polymorph listed for this composition: 0.284 eV per atom
* space-group type: P-6m2



No. 14
The following is a DFT calculation (PBE-GGA) of a geometry-optimized Ba2NaLiPd structure.

Unit cell a=6.269 b=6.269 c=5.177 alpha=90.00 beta=90.00 gamma=90.00
Positions (direct):
Na 0.500 0.500 0.500
Ba 0.000 0.500 0.000
Ba 0.500 0.000 0.000
Pd 0.000 0.000 0.000
Li 0.000 0.000 0.500

* N(E_F): 4.0 states/eV/cell
* calculated total energy: -2.643 eV/atom
* formation energy from the elements: -0.189 eV per atom
* energy relative to the lowest polymorph listed for this composition: 0.000 eV per atom
* space-group type: P4/mmm



No. 15
The following is a DFT calculation (PBE-GGA) of a geometry-optimized Fe2HgMo structure.

Unit cell a=4.671 b=4.671 c=2.814 alpha=90.00 beta=90.00 gamma=103.57
Positions (direct):
Fe 0.000 0.000 0.000
Fe 0.500 0.500 0.000
Hg 0.500 0.000 0.500
Mo 0.000 0.500 0.500

* N(E_F): 4.4 states/eV/cell
* calculated total energy: -6.498 eV/atom
* formation energy from the elements: 0.517 eV per atom
* space-group type: Cmmm